Compound: Cs2NaSeF
Source: Alexandria via LeMat-Bulk
Functional: PBE
Structure: relaxed

* V: 32.8 A^3/atom
* uncorrected energy: -16.129 eV/cell
* uncorrected formation energy: -1.549 eV/atom

Cell lengths 5.823, 5.823, 4.831 Å; angles 90.00, 90.00, 90.00 degrees
Positions (direct):
Cs 0.000 0.500 0.000
Cs 0.500 0.000 0.000
Na 0.000 0.000 0.500
Se 0.500 0.500 0.500
F 0.000 0.000 0.000